No. 1
This record from Alexandria describes an optimized crystal structure of Sr2GaSbP. The functional is PBE-GGA.

a b c (Å): 7.4355 4.4745 9.7181
angles (deg): 90.00 107.37 90.00
Closest atoms and distances in Å follow each position.
Positions (direct):
Sr (0.2111, 0.2500, 0.3944)  2 P 3.00
Sr (0.2340, 0.2500, 0.9814)  3 P 2.94-3.10
Sr (0.7660, 0.7500, 0.0186)  3 P 2.94-3.10
Sr (0.7889, 0.7500, 0.6056)  2 P 3.00
Ga (0.4914, 0.7500, 0.2306)  1 P 2.30
Ga (0.5086, 0.2500, 0.7694)  1 P 2.30
Sb (0.2961, 0.7500, 0.6908)  2 Ga 2.71
Sb (0.7039, 0.2500, 0.3092)  2 Ga 2.71
P (0.1689, 0.7500, 0.1821)  1 Ga 2.30
P (0.8311, 0.2500, 0.8179)  1 Ga 2.30

Computed properties:
Total moment, μB per formula unit: 0.0
Uncorrected formation energy, meV per atom: -811
Space-group type: P2_1/m (11)
D(E_F), states/eV/f.u.: 1.79

No. 2
This record from Alexandria describes an optimized crystal structure of GaSb2TeP. The functional is PBE-GGA.

a b c (Å): 5.1880 5.1880 5.4589
angles (deg): 90.00 90.00 90.00
Closest atoms and distances in Å follow each position.
Positions (direct):
Ga (0.0000, 0.0000, 0.0000)  4 Te 3.67, 8 Sb 3.77
Sb (0.0000, 0.5000, 0.5000)  2 P 2.59
Sb (0.5000, 0.0000, 0.5000)  2 P 2.59
Te (0.5000, 0.5000, 0.0000)  2 P 2.73
P (0.5000, 0.5000, 0.5000)  4 Sb 2.59, 2 Te 2.73

Computed properties:
Total moment, μB per formula unit: 0.0
Energy relative to the lowest polymorph listed for this composition, meV per atom: 0
Uncorrected formation energy, meV per atom: 510
Space-group type: P4/mmm (123)
D(E_F), states/eV/f.u.: 4.77

No. 3
This record from Alexandria describes an optimized crystal structure of GaSb2TeP. The functional is PBE-GGA.

a b c (Å): 5.2861 5.2861 5.2157
angles (deg): 90.00 90.00 90.00
Closest atoms and distances in Å follow each position.
Positions (direct):
Ga (0.0000, 0.0000, 0.0000)  2 Te 2.61, 4 Sb 2.64
Sb (0.0000, 0.5000, 0.0000)  2 Ga 2.64
Sb (0.5000, 0.0000, 0.0000)  2 Ga 2.64
Te (0.0000, 0.0000, 0.5000)  2 Ga 2.61
P (0.5000, 0.5000, 0.5000)  8 Sb 3.71, 4 Te 3.74

Computed properties:
Total moment, μB per formula unit: 0.0
Energy relative to the lowest polymorph listed for this composition, meV per atom: 402
Uncorrected formation energy, meV per atom: 912
Space-group type: P4/mmm (123)
D(E_F), states/eV/f.u.: 4.69

No. 4
This record from Alexandria describes an optimized crystal structure of ZnGaSb2P. The functional is PBE-GGA.

a b c (Å): 5.3544 5.3544 4.6205
angles (deg): 90.00 90.00 90.00
Closest atoms and distances in Å follow each position.
Positions (direct):
Zn (0.0000, 0.0000, 0.0000)  8 Sb 3.54, 4 Ga 3.79
Ga (0.5000, 0.5000, 0.0000)  2 P 2.31
Sb (0.0000, 0.5000, 0.5000)  2 P 2.68
Sb (0.5000, 0.0000, 0.5000)  2 P 2.68
P (0.5000, 0.5000, 0.5000)  2 Ga 2.31

Computed properties:
Total moment, μB per formula unit: 0.0
Uncorrected formation energy, meV per atom: 528
Space-group type: P4/mmm (123)
D(E_F), states/eV/f.u.: 2.16

No. 5
This record from Alexandria describes an optimized crystal structure of ScGaP3. The functional is PBE-GGA.

a b c (Å): 4.9418 4.9418 4.9418
angles (deg): 90.00 90.00 90.00
Closest atoms and distances in Å follow each position.
Positions (direct):
Sc (0.0000, 0.0000, 0.0000)  6 P 2.47
Ga (0.5000, 0.5000, 0.5000)  12 P 3.49
P (0.0000, 0.0000, 0.5000)  2 Sc 2.47
P (0.0000, 0.5000, 0.0000)  2 Sc 2.47
P (0.5000, 0.0000, 0.0000)  2 Sc 2.47

Computed properties:
Total moment, μB per formula unit: 0.0
Energy relative to the lowest polymorph listed for this composition, meV per atom: 0
Space-group type: Pm-3m (221)
D(E_F), states/eV/f.u.: 3.72
Calculated formation energy, eV/atom: 0.40

No. 6
This record from Alexandria describes an optimized crystal structure of ScGaP3. The functional is PBE-GGA.

a b c (Å): 4.6599 4.6599 4.6599
angles (deg): 90.00 90.00 90.00
Closest atoms and distances in Å follow each position.
Positions (direct):
Sc (0.0000, 0.0000, 0.0000)  12 P 3.30
Ga (0.5000, 0.5000, 0.5000)  6 P 2.33
P (0.0000, 0.5000, 0.5000)  2 Ga 2.33
P (0.5000, 0.0000, 0.5000)  2 Ga 2.33
P (0.5000, 0.5000, 0.0000)  2 Ga 2.33

Computed properties:
Total moment, μB per formula unit: 0.0
Energy relative to the lowest polymorph listed for this composition, meV per atom: 20
Space-group type: Pm-3m (221)
D(E_F), states/eV/f.u.: 4.00
Calculated formation energy, eV/atom: 0.42

- What is the formula in the third record?
  GaSb2TeP